# 1
First-principles (GGA-PBE) data for a relaxed LiAc2P3Pd12 crystal, as listed in Alexandria via LeMat-Bulk.

Cell: 7.410 7.410 7.410 Å, 71.42 71.42 71.42°
Positions (direct):
Li: 0.000 0.000 0.000
P: 0.000 0.500 0.000
Pd: 0.637 0.137 0.137
Pd: 0.295 0.295 0.876
Pd: 0.863 0.363 0.863
Pd: 0.124 0.705 0.705
Pd: 0.705 0.124 0.705
Pd: 0.137 0.637 0.137
Pd: 0.363 0.863 0.863
Pd: 0.705 0.705 0.124
Pd: 0.863 0.863 0.363
Pd: 0.295 0.876 0.295
Ac: 0.614 0.614 0.614
P: 0.500 0.000 0.000
Pd: 0.876 0.295 0.295
Ac: 0.386 0.386 0.386
P: 0.000 0.000 0.500
Pd: 0.137 0.137 0.637

Output
D(E_F) = 0.243 states/eV/atom
ΔH_f (0 K) = -8.72 eV/f.u.
crystal system = trigonal
calculated density = 8572 kg/m3

# 2
First-principles (GGA-PBE) data for a relaxed Ce4PuAu2 crystal, as listed in Alexandria via LeMat-Bulk.

Cell: 6.182 6.182 6.182 Å, 104.39 104.39 120.19°
Site moments in Bohr magnetons follow the coordinates.
Positions (direct):
Au: 0.250 0.750 0.500  0.00
Ce: 0.809 0.191 0.000  0.59
Au: 0.750 0.250 0.500  0.00
Ce: 0.809 0.809 0.617  0.59
Ce: 0.191 0.809 0.000  0.59
Ce: 0.191 0.191 0.383  0.59
Pu: 0.500 0.500 0.000  5.62

Output
D(E_F) = 2.333 states/eV/atom
ΔH_f (0 K) = -1.30 eV/f.u.
relative energy among the computed polymorphs = 0.135 eV/atom
crystal system = tetragonal
calculated density = 11244 kg/m3

# 3
First-principles (GGA-PBE) data for a relaxed Ti2TlF crystal, as listed in Alexandria via LeMat-Bulk.

Cell: 4.636 4.636 4.636 Å, 60.00 60.00 60.00°
Site moments in Bohr magnetons follow the coordinates.
Positions (direct):
Ti: 0.250 0.250 0.250  0.83
F: 0.000 0.000 0.000  0.00
Tl: 0.500 0.500 0.500  -0.03
Ti: 0.750 0.750 0.750  0.83

Output
D(E_F) = 0.031 states/eV/atom
formation energy from raw total energies = -0.286 eV per atom
relative energy among the computed polymorphs = 0.172 eV/atom
crystal system = cubic
calculated density = 7522 kg/m3

# 4
First-principles (GGA-PBE) data for a relaxed HfCrPb2 crystal, as listed in Alexandria via LeMat-Bulk.

Cell: 4.906 4.906 4.906 Å, 60.00 60.00 60.00°
Positions (direct):
Hf: 0.500 0.500 0.500
Pb: 0.750 0.750 0.750
Cr: 0.000 0.000 0.000
Pb: 0.250 0.250 0.250

Output
D(E_F) = 0.806 states/eV/atom
ΔH_f (0 K) = 2.58 eV/f.u.
relative energy among the computed polymorphs = 0.103 eV/atom
crystal system = cubic
calculated density = 12825 kg/m3

# 5
First-principles (GGA-PBE) data for a relaxed Ba2NaCu2 crystal, as listed in Alexandria via LeMat-Bulk.

Cell: 4.475 4.501 8.919 Å, 104.62 90.00 90.00°
Positions (direct):
Na: 0.000 0.000 0.000
Cu: 0.000 0.783 0.567
Ba: 0.500 0.644 0.287
Ba: 0.500 0.356 0.713
Cu: 0.000 0.217 0.433

Output
D(E_F) = 0.689 states/eV/atom
ΔH_f (0 K) = -0.16 eV/f.u.
relative energy among the computed polymorphs = 0.000 eV/atom
crystal system = orthorhombic
calculated density = 4057 kg/m3

# 6
First-principles (GGA-PBE) data for a relaxed Tb2HoEr4Tm2 crystal, as listed in Alexandria via LeMat-Bulk.

Cell: 3.542 9.369 9.397 Å, 115.30 90.00 100.90°
Positions (direct):
Er: 0.519 0.037 0.333
Tb: 0.852 0.704 0.334
Tm: 0.333 0.666 0.999
Tm: 0.667 0.334 0.001
Tb: 0.148 0.296 0.666
Er: 0.481 0.963 0.667
Er: 0.185 0.370 0.334
Ho: 0.000 0.000 0.000
Er: 0.815 0.630 0.666

Output
D(E_F) = 1.343 states/eV/atom
ΔH_f (0 K) = 0.03 eV/f.u.
crystal system = monoclinic
calculated density = 8973 kg/m3

# 7
First-principles (GGA-PBE) data for a relaxed CrOsSe2 crystal, as listed in Alexandria via LeMat-Bulk.

Cell: 3.865 4.283 4.555 Å, 81.52 90.00 90.00°
Site moments in Bohr magnetons follow the coordinates.
Positions (direct):
Os: 0.500 0.750 0.750  -0.10
Cr: 0.500 0.250 0.250  3.55
Se: 0.000 0.956 0.994  -0.02
Se: 0.000 0.544 0.506  -0.02

Output
D(E_F) = 0.846 states/eV/atom
formation energy from raw total energies = 0.520 eV per atom
relative energy among the computed polymorphs = 0.590 eV/atom
crystal system = monoclinic
calculated density = 8908 kg/m3

# 8
First-principles (GGA-PBE) data for a relaxed Cd2HgPb crystal, as listed in Alexandria via LeMat-Bulk.

Cell: 3.177 5.744 5.768 Å, 90.00 90.00 90.00°
Positions (direct):
Pb: 0.000 0.500 0.500
Cd: 0.000 0.000 0.000
Cd: 0.500 0.500 0.000
Hg: 0.500 0.000 0.500

Output
D(E_F) = 0.380 states/eV/atom
ΔH_f (0 K) = 0.24 eV/f.u.
relative energy among the computed polymorphs = 0.019 eV/atom
crystal system = orthorhombic
calculated density = 9980 kg/m3

# 9
First-principles (GGA-PBE) data for a relaxed Tb6Sm3Tm2 crystal, as listed in Alexandria via LeMat-Bulk.

Cell: 4.748 4.748 16.932 Å, 98.06 98.06 90.00°
Positions (direct):
Tb: 0.380 0.880 0.760
Tm: 0.454 0.454 0.908
Tb: 0.695 0.695 0.390
Tb: 0.880 0.380 0.760
Tb: 0.305 0.305 0.610
Tb: 0.620 0.120 0.240
Sm: 0.799 0.799 0.598
Sm: 0.000 0.000 0.000
Tb: 0.120 0.620 0.240
Tm: 0.546 0.546 0.092
Sm: 0.201 0.201 0.402

Output
D(E_F) = 1.589 states/eV/atom
ΔH_f (0 K) = 3.10 eV/f.u.
relative energy among the computed polymorphs = 0.264 eV/atom
crystal system = tetragonal
calculated density = 7735 kg/m3

# 10
First-principles (GGA-PBE) data for a relaxed Hf3CoH6 crystal, as listed in Alexandria via LeMat-Bulk.

Cell: 4.239 6.578 6.578 Å, 98.62 90.00 90.00°
Positions (direct):
Hf: 0.462 0.380 0.620
Hf: 0.962 0.620 0.380
Co: 0.976 0.161 0.839
Hf: 0.968 0.671 0.911
H: 0.706 0.969 0.031
H: 0.678 0.606 0.133
Hf: 0.968 0.089 0.329
H: 0.206 0.031 0.969
H: 0.113 0.807 0.193
Hf: 0.468 0.911 0.671
H: 0.613 0.193 0.807
H: 0.178 0.394 0.867
H: 0.217 0.357 0.354
H: 0.217 0.646 0.643
H: 0.717 0.643 0.646
Hf: 0.468 0.329 0.089
H: 0.717 0.354 0.357
H: 0.678 0.867 0.394
Co: 0.476 0.839 0.161
H: 0.178 0.133 0.606

Output
D(E_F) = 0.465 states/eV/atom
raw total energy = -120.50 eV for the cell shown
crystal system = orthorhombic
calculated density = 10994 kg/m3

# 11
First-principles (GGA-PBE) data for a relaxed LiNd2TlSe4 crystal, as listed in Alexandria via LeMat-Bulk.

Cell: 4.302 7.484 14.957 Å, 90.00 90.00 106.70°
Positions (direct):
Li: 0.166 0.331 0.250
Se: 0.570 0.140 0.250
Se: 0.265 0.529 0.111
Li: 0.834 0.669 0.750
Nd: 0.366 0.731 0.939
Se: 0.430 0.860 0.750
Se: 0.000 0.000 0.500
Se: 0.735 0.471 0.611
Se: 0.000 0.000 0.000
Tl: 0.897 0.793 0.250
Nd: 0.366 0.731 0.561
Se: 0.735 0.471 0.889
Nd: 0.634 0.269 0.439
Nd: 0.634 0.269 0.061
Se: 0.265 0.529 0.389
Tl: 0.103 0.207 0.750

Output
formation energy from raw total energies = -1.507 eV per atom
crystal system = orthorhombic
calculated density = 5873 kg/m3

# 12
First-principles (GGA-PBE) data for a relaxed Pm6ErSc3 crystal, as listed in Alexandria via LeMat-Bulk.

Cell: 9.721 9.721 6.815 Å, 44.50 44.50 60.00°
Site moments in Bohr magnetons follow the coordinates.
Positions (direct):
Pm: 0.400 0.735 0.799  0.01
Sc: 0.399 0.399 0.802  0.12
Pm: 0.901 0.562 0.299  0.01
Sc: 0.157 0.157 0.529  0.09
Pm: 0.065 0.400 0.799  0.01
Pm: 0.735 0.065 0.799  0.01
Pm: 0.238 0.901 0.299  0.01
Pm: 0.562 0.238 0.299  0.01
Er: 0.900 0.900 0.301  0.05
Sc: 0.642 0.642 0.075  0.09

Output
D(E_F) = 1.924 states/eV/atom
ΔH_f (0 K) = 1.81 eV/f.u.
relative energy among the computed polymorphs = 0.041 eV/atom
crystal system = trigonal
calculated density = 6151 kg/m3